{"formula": "CaSc4Hg", "functional": "PBE", "state": "optimized geometry", "lattice": [[3.992, -4.419, 1.123], [-0.387, -5.262, -2.981], [4.170, -1.443, -4.153]], "species": ["Sc", "Sc", "Sc", "Sc", "Hg", "Ca"], "fractional_positions": [[0.375, 0.375, 0.876], [0.876, 0.375, 0.375], [0.375, 0.876, 0.375], [0.375, 0.375, 0.375], [0.000, 0.000, 0.000], [0.750, 0.750, 0.750]], "e_form_ev_per_atom": 0.194, "space_group": "F-43m", "total_magnetization_mub_per_cell": 0.00, "energy_ev_per_atom": -4.411}